# 1
# NiB2RuPt | the Alexandria database | meta-GGA SCAN | single point on PBEsol structure
# ρ: 8.69 g cm⁻³
# Calculated formation energy: 1160 meV/atom
# V: 14.39 Å³ per atom
# Magnetization: 0.70 μB per atom
# Total energy: -26.051 eV/atom
data_NiB2RuPt
_space_group_name_H-M_alt 'P 4/m m m'
_space_group_IT_number 123
_space_group_name_Hall '-P 4 2'
_cell_length_a 3.894
_cell_length_b 3.894
_cell_length_c 4.743
_cell_angle_alpha 90.00
_cell_angle_beta 90.00
_cell_angle_gamma 90.00
loop_
_atom_site_label
_atom_site_type_symbol
_atom_site_fract_x
_atom_site_fract_y
_atom_site_fract_z
Ni1 Ni 0.000 0.000 0.000
B1 B 0.000 0.500 0.500
Ru1 Ru 0.500 0.500 0.000
Pt1 Pt 0.000 0.000 0.500


# 2
# AlBPbO4 | the Alexandria database | meta-GGA SCAN | single point on PBEsol structure
# Uncorrected formation energy: -2.540 eV/atom
# ρ: 6.28 g cm⁻³
# V: 11.68 Å³ per atom
# Magnetization: 0.00 μB per atom
# Total energy: -19.096 eV/atom
data_AlBPbO4
_space_group_name_H-M_alt 'P b c n'
_space_group_IT_number 60
_cell_length_a 7.009
_cell_length_b 9.886
_cell_length_c 9.439
_cell_angle_alpha 90.00
_cell_angle_beta 90.00
_cell_angle_gamma 90.00
loop_
_space_group_symop_operation_xyz
'x,y,z'
'-x,-y,-z'
'-x+1/2,-y+1/2,z+1/2'
'x+1/2,y+1/2,-z+1/2'
'x+1/2,-y+1/2,-z'
'-x+1/2,y+1/2,z'
'-x,y,-z+1/2'
'x,-y,z+1/2'
loop_
_atom_site_label
_atom_site_type_symbol
_atom_site_fract_x
_atom_site_fract_y
_atom_site_fract_z
Al1 Al 0.000 0.000 0.000
Al2 Al 0.000 0.164 0.250
B1 B 0.222 0.095 0.747
Pb1 Pb 0.067 0.329 0.952
O1 O 0.102 0.157 0.429
O2 O 0.165 0.017 0.170
O3 O 0.169 0.109 0.888
O4 O 0.172 0.303 0.184